# 1
# TlCuAu2

A PBEsol-optimized structure of TlCuAu2 (SCAN, the Alexandria database).

energy above the most stable polymorph in this dataset	88	meV per atom
energy of formation from the pure elements	0.14	eV/atom
size of the total moment	0.00	μB/f.u.

extended XYZ file:
```
4
Lattice="-2.0326 2.0326 4.1825 2.0326 -2.0326 4.1825 2.0326 2.0326 -4.1825" Properties=species:S:1:pos:R:3 pbc="T T T"
Tl 0.0000 0.0000 0.0000
Cu 2.0326 0.0000 2.0913
Au 0.0000 0.0000 4.1825
Au 0.0000 2.0326 2.0913
```



# 2
# TlCu2Au

A PBEsol-optimized structure of TlCu2Au (SCAN, the Alexandria database).

energy of formation from the pure elements	0.17	eV/atom
size of the total moment	0.00	μB/f.u.

extended XYZ file:
```
4
Lattice="3.0465 0.0000 0.0000 0.0000 4.1424 0.0000 -1.2960 0.0000 5.0565" Properties=species:S:1:pos:R:3 pbc="T T T"
Tl 0.0000 0.0000 0.0000
Cu 0.2252 0.0000 2.6520
Cu 0.2134 2.0712 4.0375
Au 1.7368 2.0712 1.8415
```



# 3
# TlCu2Au

A PBEsol-optimized structure of TlCu2Au (SCAN, the Alexandria database).

energy of formation from the pure elements	0.24	eV/atom
size of the total moment	0.00	μB/f.u.

extended XYZ file:
```
4
Lattice="0.0000 3.1694 3.1694 3.1694 0.0000 3.1694 3.1694 3.1694 0.0000" Properties=species:S:1:pos:R:3 pbc="T T T"
Tl 0.0000 0.0000 0.0000
Cu 3.1694 3.1694 3.1694
Cu 4.7541 4.7541 4.7541
Au 1.5847 1.5847 1.5847
```



# 4
# TlCuAu2

A PBEsol-optimized structure of TlCuAu2 (SCAN, the Alexandria database).

energy above the most stable polymorph in this dataset	0	meV per atom
energy of formation from the pure elements	0.05	eV/atom
size of the total moment	0.00	μB/f.u.

extended XYZ file:
```
4
Lattice="3.1494 0.0000 0.0000 0.0000 3.1494 0.0000 0.0000 0.0000 7.1303" Properties=species:S:1:pos:R:3 pbc="T T T"
Tl 0.0000 0.0000 0.0000
Cu 0.0000 0.0000 3.5652
Au 1.5747 1.5747 2.1251
Au 1.5747 1.5747 5.0052
```



# 5
# Tl2CuAu

A PBEsol-optimized structure of Tl2CuAu (SCAN, the Alexandria database).

energy of formation from the pure elements	0.24	eV/atom
size of the total moment	0.00	μB/f.u.

extended XYZ file:
```
4
Lattice="1.7334 1.0008 8.0072 -1.7334 1.0008 8.0072 0.0000 -2.0016 8.0072" Properties=species:S:1:pos:R:3 pbc="T T T"
Tl 0.0000 0.0000 5.8894
Tl 0.0000 0.0000 18.1322
Cu 0.0000 0.0000 12.0108
Au 0.0000 0.0000 0.0000
```



# 6
# TlCu2Au

A PBEsol-optimized structure of TlCu2Au (SCAN, the Alexandria database).

energy of formation from the pure elements	0.28	eV/atom
size of the total moment	0.00	μB/f.u.

extended XYZ file:
```
4
Lattice="1.5257 0.8809 8.1806 -1.5257 0.8809 8.1806 0.0000 -1.7617 8.1806" Properties=species:S:1:pos:R:3 pbc="T T T"
Tl 0.0000 0.0000 0.0000
Cu 0.0000 0.0000 6.0246
Cu 0.0000 0.0000 18.5172
Au 0.0000 0.0000 12.2709
```



# 7
# CuWAu2

A PBEsol-optimized structure of CuWAu2 (SCAN, the Alexandria database).

energy above the most stable polymorph in this dataset	0	meV per atom
energy of formation from the pure elements	0.25	eV/atom
size of the total moment	0.00	μB/f.u.

extended XYZ file:
```
4
Lattice="1.4063 0.8119 8.9278 -1.4063 0.8119 8.9278 0.0000 -1.6238 8.9278" Properties=species:S:1:pos:R:3 pbc="T T T"
Cu 0.0000 0.0000 0.0000
W 0.0000 0.0000 13.3917
Au 0.0000 0.0000 6.7961
Au 0.0000 0.0000 19.9872
```



# 8
# CuWAu2

A PBEsol-optimized structure of CuWAu2 (SCAN, the Alexandria database).

energy above the most stable polymorph in this dataset	204	meV per atom
energy of formation from the pure elements	0.46	eV/atom
size of the total moment	0.27	μB/f.u.

extended XYZ file:
```
4
Lattice="-2.0426 2.0426 3.6746 2.0426 -2.0426 3.6746 2.0426 2.0426 -3.6746" Properties=species:S:1:pos:R:3 pbc="T T T"
Cu 0.0000 0.0000 0.0000
W 0.0000 0.0000 3.6746
Au 2.0426 0.0000 1.8373
Au 0.0000 2.0426 1.8373
```



# 9
# Y2Cu2Au

A PBEsol-optimized structure of Y2Cu2Au (SCAN, the Alexandria database).

energy of formation from the pure elements	-0.55	eV/atom
size of the total moment	0.00	μB/f.u.

extended XYZ file:
```
10
Lattice="7.1317 0.0000 0.0000 0.0000 7.1317 0.0000 0.0000 0.0000 3.7668" Properties=species:S:1:pos:R:3 pbc="T T T"
Y 1.2852 2.2806 0.0000
Y 2.2806 5.8465 0.0000
Y 4.8511 1.2852 0.0000
Y 5.8465 4.8511 0.0000
Cu 0.8512 4.4171 1.8834
Cu 2.7146 0.8512 1.8834
Cu 4.4171 6.2805 1.8834
Cu 6.2805 2.7146 1.8834
Au 0.0000 0.0000 1.8834
Au 3.5659 3.5659 1.8834
```



# 10
# Y2CuAu

A PBEsol-optimized structure of Y2CuAu (SCAN, the Alexandria database).

energy of formation from the pure elements	-0.73	eV/atom
size of the total moment	0.00	μB/f.u.

extended XYZ file:
```
4
Lattice="0.0000 3.4920 3.4920 3.4920 0.0000 3.4920 3.4920 3.4920 0.0000" Properties=species:S:1:pos:R:3 pbc="T T T"
Y 1.7460 1.7460 1.7460
Y 5.2380 5.2380 5.2380
Cu 0.0000 0.0000 0.0000
Au 3.4920 3.4920 3.4920
```



# 11
# Y2CuAu

A PBEsol-optimized structure of Y2CuAu (SCAN, the Alexandria database).

energy of formation from the pure elements	-0.72	eV/atom
size of the total moment	0.00	μB/f.u.

extended XYZ file:
```
4
Lattice="4.9257 0.0000 0.0000 0.0000 4.9257 0.0000 0.0000 0.0000 3.5117" Properties=species:S:1:pos:R:3 pbc="T T T"
Y 0.0000 2.4629 0.0000
Y 2.4629 0.0000 0.0000
Cu 0.0000 0.0000 1.7559
Au 2.4629 2.4629 1.7559
```



# 12
# Y2CuAu

A PBEsol-optimized structure of Y2CuAu (SCAN, the Alexandria database).

energy of formation from the pure elements	-0.75	eV/atom
size of the total moment	0.00	μB/f.u.

extended XYZ file:
```
4
Lattice="3.6972 0.0000 0.0000 0.0000 4.5078 0.0000 -1.8245 0.0000 5.2736" Properties=species:S:1:pos:R:3 pbc="T T T"
Y 0.0000 0.0000 0.0000
Y 0.0074 2.2539 2.9543
Cu 1.8527 0.0000 2.3055
Au 1.8509 2.2539 0.6658
```



# 13
# Y2CuAu

A PBEsol-optimized structure of Y2CuAu (SCAN, the Alexandria database).

energy of formation from the pure elements	-0.43	eV/atom
size of the total moment	0.00	μB/f.u.

extended XYZ file:
```
4
Lattice="-2.0794 2.0794 4.8256 2.0794 -2.0794 4.8256 2.0794 2.0794 -4.8256" Properties=species:S:1:pos:R:3 pbc="T T T"
Y 0.0000 0.0000 0.0000
Y 0.0000 2.0794 2.4128
Cu 2.0794 0.0000 2.4128
Au 0.0000 0.0000 4.8256
```



# 14
# Zn2Cu2Au

A PBEsol-optimized structure of Zn2Cu2Au (SCAN, the Alexandria database).

energy of formation from the pure elements	-0.07	eV/atom
size of the total moment	0.00	μB/f.u.

extended XYZ file:
```
10
Lattice="6.8574 0.0000 0.0000 0.0000 6.8574 0.0000 0.0000 0.0000 2.8562" Properties=species:S:1:pos:R:3 pbc="T T T"
Zn 0.9088 2.5199 0.0000
Zn 2.5199 5.9486 0.0000
Zn 4.3375 0.9088 0.0000
Zn 5.9486 4.3375 0.0000
Cu 1.1198 4.5485 1.4281
Cu 2.3089 1.1198 1.4281
Cu 4.5485 5.7376 1.4281
Cu 5.7376 2.3089 1.4281
Au 0.0000 0.0000 0.0000
Au 3.4287 3.4287 0.0000
```



# 15
# Zr2Cu2Au

A PBEsol-optimized structure of Zr2Cu2Au (SCAN, the Alexandria database).

energy of formation from the pure elements	-0.45	eV/atom
size of the total moment	0.00	μB/f.u.

extended XYZ file:
```
10
Lattice="6.8414 0.0000 0.0000 0.0000 6.8414 0.0000 0.0000 0.0000 3.5607" Properties=species:S:1:pos:R:3 pbc="T T T"
Zr 1.1760 2.2448 0.0000
Zr 2.2448 5.6655 0.0000
Zr 4.5967 1.1760 0.0000
Zr 5.6655 4.5967 0.0000
Cu 0.8596 4.2803 1.7804
Cu 2.5611 0.8596 1.7804
Cu 4.2803 5.9818 1.7804
Cu 5.9818 2.5611 1.7804
Au 0.0000 0.0000 1.7804
Au 3.4207 3.4207 1.7804
```



# 16
# ZrCu4Au

A PBEsol-optimized structure of ZrCu4Au (SCAN, the Alexandria database).

energy of formation from the pure elements	-0.34	eV/atom
size of the total moment	0.00	μB/f.u.

extended XYZ file:
```
6
Lattice="0.0000 3.4375 3.4375 3.4375 0.0000 3.4375 3.4375 3.4375 0.0000" Properties=species:S:1:pos:R:3 pbc="T T T"
Zr 0.0000 0.0000 0.0000
Cu 2.5806 2.5806 2.5806
Cu 4.2944 4.2944 2.5806
Cu 4.2944 2.5806 4.2944
Cu 2.5806 4.2944 4.2944
Au 5.1562 5.1562 5.1562
```



# 17
# DyAu2

A PBEsol-optimized structure of DyAu2 (SCAN, the Alexandria database).

energy of formation from the pure elements	-1.07	eV/atom
size of the total moment	0.00	μB/f.u.

extended XYZ file:
```
3
Lattice="-1.8364 1.8364 4.4515 1.8364 -1.8364 4.4515 1.8364 1.8364 -4.4515" Properties=species:S:1:pos:R:3 pbc="T T T"
Dy 0.0000 0.0000 0.0000
Au 0.0000 0.0000 2.9737
Au 0.0000 0.0000 5.9292
```



# 18
# DyAu

A PBEsol-optimized structure of DyAu (SCAN, the Alexandria database).

energy of formation from the pure elements	-1.10	eV/atom
size of the total moment	0.00	μB/f.u.

extended XYZ file:
```
2
Lattice="3.5376 0.0000 0.0000 0.0000 3.5376 0.0000 0.0000 0.0000 3.5376" Properties=species:S:1:pos:R:3 pbc="T T T"
Dy 0.0000 0.0000 0.0000
Au 1.7688 1.7688 1.7688
```



# 19
# Dy14Au51

A PBEsol-optimized structure of Dy14Au51 (SCAN, the Alexandria database).

energy of formation from the pure elements	-0.77	eV/atom
size of the total moment	0.00	μB/f.u.

extended XYZ file:
```
65
Lattice="12.5361 0.0000 0.0000 -6.2680 10.8566 0.0000 0.0000 0.0000 9.0902" Properties=species:S:1:pos:R:3 pbc="T T T"
Dy 0.0000 0.0000 1.7990
Dy 0.0000 0.0000 7.2912
Dy -3.0467 7.7404 4.5451
Dy -1.1405 5.0252 0.0000
Dy 1.0880 4.3478 4.5451
Dy -1.3458 9.3317 0.0000
Dy 4.1291 1.2050 4.5451
Dy 3.8093 3.5224 0.0000
Dy 2.4864 7.3562 0.0000
Dy 1.9587 9.6249 4.5451
Dy 7.5809 1.5377 0.0000
Dy 5.2470 6.6781 4.5451
Dy 7.4139 5.7964 0.0000
Dy 9.4280 2.9734 4.5451
Au -5.2806 9.6025 4.5451
Au -4.3809 8.8762 0.0000
Au -0.7056 2.8542 2.4831
Au -0.7056 2.8542 6.6071
Au -2.8398 7.1394 1.4858
Au -2.8398 7.1394 7.6044
Au 0.5923 1.4822 4.5451
Au -1.6060 5.3345 3.1595
Au -1.6060 5.3345 5.9307
Au 0.7715 2.6245 0.0000
Au -3.4434 10.0405 2.4831
Au -3.4434 10.0405 6.6071
Au 2.5703 0.6127 0.0000
Au 2.2207 2.0717 2.4042
Au 2.2207 2.0717 6.6860
Au 0.0000 7.2377 1.6772
Au 0.0000 7.2377 4.5451
Au 0.0000 7.2377 7.4130
Au 1.5050 4.8275 1.4858
Au 1.5050 4.8275 7.6044
Au -0.8452 9.5802 3.1595
Au -0.8452 9.5802 5.9307
Au 4.8794 1.1108 1.4767
Au 4.8794 1.1108 7.6136
Au 3.8435 4.1378 3.1701
Au 3.8435 4.1378 5.9201
Au 2.4512 6.7984 3.1595
Au 2.4512 6.7984 5.9307
Au 1.3347 9.7462 1.4858
Au 1.3347 9.7462 7.6044
Au 7.0309 1.2597 3.1701
Au 7.0309 1.2597 5.9201
Au 4.7903 6.0755 1.4767
Au 4.7903 6.0755 7.6136
Au 6.2680 3.6189 1.6896
Au 6.2680 3.6189 4.5451
Au 6.2680 3.6189 7.4006
Au 4.1490 8.8184 2.4831
Au 4.1490 8.8184 6.6071
Au 3.6094 10.2125 0.0000
Au 9.6316 0.8873 2.4042
Au 9.6316 0.8873 6.6860
Au 5.5135 8.3243 0.0000
Au 4.6883 10.6284 4.5451
Au 7.9297 5.4591 3.1701
Au 7.9297 5.4591 5.9201
Au 9.1344 3.6703 1.4767
Au 9.1344 3.6703 7.6136
Au 6.9519 7.8976 2.4042
Au 6.9519 7.8976 6.6860
Au 10.7204 1.9196 0.0000
```



# 20
# DyGeAu

A PBEsol-optimized structure of DyGeAu (SCAN, the Alexandria database).

energy of formation from the pure elements	-1.06	eV/atom
size of the total moment	0.00	μB/f.u.

extended XYZ file:
```
6
Lattice="4.4084 0.0000 0.0000 -2.2042 3.8178 0.0000 0.0000 0.0000 7.1676" Properties=species:S:1:pos:R:3 pbc="T T T"
Dy 0.0000 0.0000 0.0000
Dy 0.0000 0.0000 3.5838
Ge 0.0000 2.5452 2.0917
Ge 2.2042 1.2726 5.6754
Au 0.0000 2.5452 5.0848
Au 2.2042 1.2726 1.5011
```



# 21
# Dy2InAu2

A PBEsol-optimized structure of Dy2InAu2 (SCAN, the Alexandria database).

energy of formation from the pure elements	-1.05	eV/atom
size of the total moment	0.00	μB/f.u.

extended XYZ file:
```
10
Lattice="7.8127 0.0000 0.0000 0.0000 7.8127 0.0000 0.0000 0.0000 3.6767" Properties=species:S:1:pos:R:3 pbc="T T T"
Dy 1.3222 2.5842 0.0000
Dy 2.5842 6.4905 0.0000
Dy 5.2286 1.3222 0.0000
Dy 6.4905 5.2286 0.0000
In 0.0000 0.0000 1.8383
In 3.9064 3.9064 1.8383
Au 1.0048 4.9111 1.8383
Au 2.9016 1.0048 1.8383
Au 4.9111 6.8079 1.8383
Au 6.8079 2.9016 1.8383
```



# 22
# DyInAu2

A PBEsol-optimized structure of DyInAu2 (SCAN, the Alexandria database).

energy of formation from the pure elements	-0.86	eV/atom
size of the total moment	0.00	μB/f.u.

extended XYZ file:
```
4
Lattice="0.0000 3.4297 3.4297 3.4297 0.0000 3.4297 3.4297 3.4297 0.0000" Properties=species:S:1:pos:R:3 pbc="T T T"
Dy 0.0000 0.0000 0.0000
In 3.4297 3.4297 3.4297
Au 1.7149 1.7149 1.7149
Au 5.1446 5.1446 5.1446
```



# 23
# Dy2IrAu

A PBEsol-optimized structure of Dy2IrAu (SCAN, the Alexandria database).

energy of formation from the pure elements	-1.04	eV/atom
size of the total moment	0.00	μB/f.u.

extended XYZ file:
```
4
Lattice="-2.4420 2.4420 3.4469 2.4420 -2.4420 3.4469 2.4420 2.4420 -3.4469" Properties=species:S:1:pos:R:3 pbc="T T T"
Dy 2.4420 0.0000 1.7234
Dy 0.0000 2.4420 1.7234
Ir 0.0000 0.0000 0.0000
Au 0.0000 0.0000 3.4469
```



# 24
# DyMgAu

A PBEsol-optimized structure of DyMgAu (SCAN, the Alexandria database).

energy of formation from the pure elements	-0.91	eV/atom
size of the total moment	0.00	μB/f.u.

extended XYZ file:
```
9
Lattice="7.5160 0.0000 0.0000 -3.7580 6.5090 0.0000 0.0000 0.0000 4.0205" Properties=species:S:1:pos:R:3 pbc="T T T"
Dy -2.2102 3.8282 0.0000
Dy 1.5478 2.6808 0.0000
Dy 4.4204 0.0000 0.0000
Mg -0.9294 1.6098 2.0103
Mg 1.8588 0.0000 2.0103
Mg 2.8286 4.8992 2.0103
Au 0.0000 0.0000 0.0000
Au 0.0000 4.3393 2.0103
Au 3.7580 2.1697 2.0103
```